The following is a PBE calculation of a relaxed Ce3Hg4Pb2 crystal, from the Alexandria database.

The density of states at the Fermi level is 23.4 states/eV/f.u. For the total energy, the calculation gives -29.030 eV/cell. The calculation puts the formation energy at -251 kJ/mol of formula units.

The structure belongs to space group P-62m (No. 189); the cell edges are 8.0933, 8.0933 and 4.4716 Å and the angles 90.00°, 90.00° and 120.00°. The inequivalent atoms are Ce at (0.0000, 0.4002, 0.0000), Hg at (0.0000, 0.0000, 0.0000), Hg at (0.0000, 0.7468, 0.5000) and Pb at (0.3333, 0.6667, 0.5000).